No. 1
La2NdAg2Sn2 | Alexandria | PBE | relaxed; formation energy = -0.456 eV/atom; crystal system = trigonal; mass density = 7.726 Mg/m³; raw total energy = -31.52 eV per cell; symmetry = R-3m
1.0
4.8249 0.0000 0.0000
2.4125 4.1785 0.0000
2.4125 1.3928 9.3303
Ag La Sn Nd
2 2 2 1
Cartesian
4.8249 2.7857 6.9972 Ag
4.8249 2.7857 2.3330 Ag
7.2374 4.1785 3.8544 La
2.4125 1.3928 5.4758 La
2.4125 1.3928 1.8587 Sn
7.2374 4.1785 7.4716 Sn
0.0000 0.0000 0.0000 Nd

---

No. 2
Ce3Th2Os2 | Alexandria | PBE | relaxed; formation energy = -0.187 eV/atom; crystal system = monoclinic; mass density = 11.517 Mg/m³; raw total energy = -56.41 eV per cell; symmetry = C2/m
1.0
3.7897 0.0001 -0.8507
-2.3575 5.4354 -1.6455
-0.0176 0.1433 8.7999
Ce Th Os
3 2 2
Cartesian
-1.2173 4.5715 3.4443 Ce
2.6319 1.0072 2.8594 Ce
1.8948 0.0000 -0.4253 Ce
0.1434 2.8314 0.6315 Th
1.2712 2.7473 5.6722 Th
-1.9430 4.7780 0.2020 Os
3.3576 0.8007 6.1017 Os